Here is a relaxed AlCu2Au crystal from the Alexandria database. Energies are from PBE.

Cell: 8.478 8.478 8.478 Å, 19.36 19.36 19.36°
Positions (direct):
Au  0.750  0.750  0.750
Al  0.250  0.250  0.250
Cu  0.995  0.995  0.995
Cu  0.505  0.505  0.505

Calculated values
- calculated formation energy (eV/atom) = -0.04
- uncorrected energy (eV per atom) = -3.84
- space-group type = No. 166
- V (Å³ per cell) = 58.6